Entry from Alexandria: a relaxed structure of TbPrGaRh (PBE).

Values from the calculation:
Volume in Å³ per atom: 24.09
Size of the total moment in μB per formula unit: 0.0
Calculated formation energy in meV per atom: -674
Fermi-level density of states in states/eV per cell: 3.187
E above lowest polymorph in meV per atom: 0

a b c (Å): 4.360 3.920 6.043
angles (deg): 90.00 111.15 90.00
Fractional coordinates of all 4 atoms:
Pr  0.153  0.000  0.306
Ga  0.565  0.500  0.130
Rh  0.414  0.000  0.829
Tb  0.868  0.500  0.735